# UPd2S4 PBE optimized geometry
data_UPd2S4
_symmetry_space_group_name_H-M 'I 41/a'
_symmetry_Int_Tables_number 88
_cell_length_a 6.7772
_cell_length_b 6.7772
_cell_length_c 11.8621
_cell_angle_alpha 90.00
_cell_angle_beta 90.00
_cell_angle_gamma 90.00
loop_
_symmetry_equiv_pos_as_xyz
'x,y,z'
'-x,-y,-z'
'-y+3/4,x+1/4,z+1/4'
'y+3/4,-x+1/4,-z+1/4'
'-x+1/2,-y,z+1/2'
'x+1/2,y,-z+1/2'
'y+3/4,-x+3/4,z+3/4'
'-y+3/4,x+3/4,-z+3/4'
'x+1/2,y+1/2,z+1/2'
'-x+1/2,-y+1/2,-z+1/2'
'-y+1/4,x+3/4,z+3/4'
'y+1/4,-x+3/4,-z+3/4'
'-x,-y+1/2,z'
'x,y+1/2,-z'
'y+1/4,-x+1/4,z+1/4'
'-y+1/4,x+1/4,-z+1/4'
loop_
_atom_site_label
_atom_site_type_symbol
_atom_site_fract_x
_atom_site_fract_y
_atom_site_fract_z
U1 U 0.0000 0.2500 0.1250
Pd1 Pd 0.0000 0.0000 0.5000
S1 S 0.1505 0.0563 0.3223
# crystal system = tetragonal
# energy relative to the lowest polymorph listed for this composition = 0 meV/atom
# formation energy (no corrections) = -764 meV per atom
# D(E_F) = 6.668 states/eV/f.u.
# M_tot = 2.004 μB per formula unit